The following is a PBE-GGA calculation of a relaxed Y3Ge5Pt6 crystal, from Alexandria via LeMat-Bulk.

a b c (Å): 4.1658 9.6254 12.9480
angles (deg): 90.00 90.00 90.00
Atoms (fractional coordinates):
Ge1 0.0000 0.8336 0.0000
Ge2 0.0000 0.5401 0.1150
Ge3 0.5000 0.4599 0.3850
Ge4 0.5000 0.4599 0.6150
Ge5 0.0000 0.5401 0.8850
Ge6 0.5000 0.1504 0.8331
Ge7 0.5000 0.1664 0.5000
Ge8 0.0000 0.8496 0.3331
Ge9 0.5000 0.1504 0.1669
Ge10 0.0000 0.8496 0.6669
Y1 0.5000 0.7557 0.1696
Y2 0.0000 0.2443 0.3304
Y3 0.0000 0.2563 0.0000
Y4 0.5000 0.7557 0.8304
Y5 0.0000 0.2443 0.6696
Y6 0.5000 0.7437 0.5000
Pt1 0.0000 0.4860 0.5000
Pt2 0.5000 0.9926 0.3342
Pt3 0.0000 0.0074 0.1658
Pt4 0.0000 0.0006 0.5000
Pt5 0.5000 0.4033 0.1959
Pt6 0.5000 0.5140 0.0000
Pt7 0.0000 0.0074 0.8342
Pt8 0.0000 0.5967 0.6959
Pt9 0.5000 0.4033 0.8041
Pt10 0.0000 0.5967 0.3041
Pt11 0.5000 0.9994 0.0000
Pt12 0.5000 0.9926 0.6658

## Properties
Total magnetization: 0.00 μB/f.u.
Space-group type: Pmmn
VASP energy: -6.530 eV per atom

---

The following is a PBE-GGA calculation of a relaxed TaSe2S crystal, from Alexandria via LeMat-Bulk.

a b c (Å): 3.3697 10.6945 11.0626
angles (deg): 90.00 90.00 90.00
Atoms (fractional coordinates):
Se1 0.2500 0.9999 0.1267
Se2 0.7500 0.2849 0.0934
Se3 0.2500 0.7849 0.4066
Se4 0.2500 0.7151 0.9066
Se5 0.2500 0.5001 0.6267
Se6 0.7500 0.2151 0.5934
Se7 0.7500 0.4999 0.3733
Se8 0.7500 0.0001 0.8733
S1 0.7500 0.2049 0.3315
S2 0.7500 0.2951 0.8315
S3 0.2500 0.7951 0.6685
S4 0.2500 0.7049 0.1685
Ta1 0.2500 0.3246 0.4476
Ta2 0.7500 0.8246 0.0524
Ta3 0.2500 0.1754 0.9476
Ta4 0.7500 0.6754 0.5524

## Properties
ΔE_f (raw): -0.622 eV/atom
Total magnetization: 0.00 μB/f.u.
Space-group type: Pnma
VASP energy: -6.359 eV per atom

---

The following is a PBE-GGA calculation of a relaxed CaTeSeF crystal, from Alexandria via LeMat-Bulk.

a b c (Å): 3.7933 13.4022 4.5869
angles (deg): 90.00 90.03 90.00
Atoms (fractional coordinates):
Ca1 0.0000 0.0131 0.5000
Ca2 0.0000 0.5131 0.0000
Te1 0.0000 0.6869 0.5000
Te2 0.0000 0.1869 0.0000
F1 0.5000 0.4376 0.0000
F2 0.5000 0.9376 0.5000
Se1 0.5000 0.6968 0.0000
Se2 0.5000 0.1968 0.5000

## Properties
ΔE_f (raw): -1.691 eV/atom
Total magnetization: 0.00 μB/f.u.
Space-group type: Amm2
VASP energy: -4.315 eV per atom

---

The following is a PBE-GGA calculation of a relaxed ZnP crystal, from Alexandria via LeMat-Bulk.

a b c (Å): 4.1519 4.9674 7.1678
angles (deg): 90.00 90.00 90.00
Atoms (fractional coordinates):
P1 0.4999 0.7500 0.2346
P2 0.9999 0.2500 0.2654
P3 0.0001 0.7500 0.7346
P4 0.5001 0.2500 0.7654
Zn1 0.4998 0.2500 0.1009
Zn2 0.5002 0.7500 0.8991
Zn3 0.9998 0.7500 0.3991
Zn4 0.0002 0.2500 0.6009

## Properties
Total magnetization: 0.00 μB/f.u.
Space-group type: Cmcm
VASP energy: -3.276 eV per atom